# 1
Compound: Sm2Hg4Pb
Source: Alexandria via LeMat-Bulk
Functional: PBE-GGA
Structure: relaxed

M_tot = 0.0 μB/f.u.
DFT formation energy = -338 meV per atom
space group = No. 166
energy above the most stable polymorph in this dataset = 0.000 eV per atom
Fermi-level density of states = 0.500 states/eV per atom
total DFT energy (no corrections) = -2.39 eV per atom

a b c (Å): 5.2320 5.2320 8.4361
angles (deg): 71.94 71.94 60.00
Fractional coordinates of all 7 atoms:
Hg (0.4301, 0.4301, 0.7097)
Hg (0.5699, 0.5699, 0.2903)
Sm (0.2742, 0.2742, 0.1775)
Hg (0.1381, 0.1381, 0.5856)
Sm (0.7258, 0.7258, 0.8225)
Pb (0.0000, 0.0000, 0.0000)
Hg (0.8619, 0.8619, 0.4144)

# 2
Compound: Sm2Hg3Pb
Source: Alexandria via LeMat-Bulk
Functional: PBE-GGA
Structure: relaxed

M_tot = 0.0 μB/f.u.
DFT formation energy = -191 meV per atom
space group = No. 71
energy above the most stable polymorph in this dataset = 0.053 eV per atom
Fermi-level density of states = 0.668 states/eV per atom
total DFT energy (no corrections) = -2.53 eV per atom

a b c (Å): 3.4454 5.7463 9.5035
angles (deg): 107.60 100.44 90.00
Fractional coordinates of all 6 atoms:
Sm (0.3449, 0.3449, 0.6898)
Sm (0.6551, 0.6551, 0.3102)
Hg (0.8261, 0.8261, 0.6523)
Pb (0.0000, 0.0000, 0.0000)
Hg (0.1739, 0.1739, 0.3477)
Hg (0.0000, 0.5000, 0.0000)

# 3
Compound: SmHg3Pb3
Source: Alexandria via LeMat-Bulk
Functional: PBE-GGA
Structure: relaxed

M_tot = 0.0 μB/f.u.
DFT formation energy = 445 meV per atom
space group = No. 223
Fermi-level density of states = 0.676 states/eV per atom
total DFT energy (no corrections) = -1.95 eV per atom

a b c (Å): 8.1094 8.1094 8.1094
angles (deg): 90.00 90.00 90.00
Fractional coordinates of all 14 atoms:
Pb (0.5000, 0.0000, 0.2500)
Hg (0.5000, 0.2500, 0.0000)
Pb (0.7500, 0.5000, 0.0000)
Sm (0.5000, 0.5000, 0.5000)
Pb (0.2500, 0.5000, 0.0000)
Hg (0.0000, 0.5000, 0.2500)
Pb (0.5000, 0.0000, 0.7500)
Pb (0.0000, 0.7500, 0.5000)
Hg (0.5000, 0.7500, 0.0000)
Hg (0.7500, 0.0000, 0.5000)
Pb (0.0000, 0.2500, 0.5000)
Hg (0.2500, 0.0000, 0.5000)
Hg (0.0000, 0.5000, 0.7500)
Sm (0.0000, 0.0000, 0.0000)

# 4
Compound: Sm3Hg3Pb
Source: Alexandria via LeMat-Bulk
Functional: PBE-GGA
Structure: relaxed

M_tot = 0.0 μB/f.u.
DFT formation energy = -410 meV per atom
space group = No. 176
Fermi-level density of states = 0.660 states/eV per atom
total DFT energy (no corrections) = -3.09 eV per atom

a b c (Å): 5.0631 9.4480 9.4480
angles (deg): 120.00 90.00 90.00
Fractional coordinates of all 14 atoms:
Sm (0.2500, 0.0987, 0.6590)
Sm (0.7500, 0.6590, 0.5603)
Hg (0.7500, 0.0348, 0.8087)
Pb (0.7500, 0.3333, 0.6667)
Sm (0.7500, 0.4397, 0.0987)
Hg (0.2500, 0.8087, 0.7738)
Hg (0.2500, 0.2262, 0.0348)
Hg (0.7500, 0.1913, 0.2262)
Sm (0.7500, 0.9013, 0.3410)
Pb (0.2500, 0.6667, 0.3333)
Sm (0.2500, 0.5603, 0.9013)
Hg (0.2500, 0.9652, 0.1913)
Sm (0.2500, 0.3410, 0.4397)
Hg (0.7500, 0.7738, 0.9652)

# 5
Compound: Sm4Hg5Pb
Source: Alexandria via LeMat-Bulk
Functional: PBE-GGA
Structure: relaxed

M_tot = 1.1 μB/f.u.
DFT formation energy = -409 meV per atom
space group = No. 123
Fermi-level density of states = 0.848 states/eV per atom
total DFT energy (no corrections) = -2.82 eV per atom

a b c (Å): 3.8217 3.8217 18.6543
angles (deg): 90.00 90.00 90.00
Fractional coordinates of all 10 atoms:
Hg (0.5000, 0.5000, 0.8978)
Hg (0.5000, 0.5000, 0.5000)
Pb (0.0000, 0.0000, 0.0000)
Sm (0.0000, 0.0000, 0.8031)
Sm (0.0000, 0.0000, 0.6000)
Hg (0.5000, 0.5000, 0.6976)
Hg (0.5000, 0.5000, 0.1022)
Hg (0.5000, 0.5000, 0.3024)
Sm (0.0000, 0.0000, 0.1969)
Sm (0.0000, 0.0000, 0.4000)

# 6
Compound: SmHg4Pb
Source: Alexandria via LeMat-Bulk
Functional: PBE-GGA
Structure: relaxed

M_tot = 0.0 μB/f.u.
DFT formation energy = -236 meV per atom
space group = No. 65
energy above the most stable polymorph in this dataset = 0.000 eV per atom
Fermi-level density of states = 0.417 states/eV per atom
total DFT energy (no corrections) = -1.84 eV per atom

a b c (Å): 4.7355 4.6852 7.3430
angles (deg): 71.40 90.00 89.99
Fractional coordinates of all 6 atoms:
Sm (0.5000, 0.5000, 0.0000)
Hg (0.5000, 0.1711, 0.6577)
Hg (0.5000, 0.8289, 0.3423)
Pb (0.0000, 0.0000, 0.0000)
Hg (0.0000, 0.3308, 0.3384)
Hg (0.0000, 0.6692, 0.6616)

# 7
Compound: Sm2HgPb3
Source: Alexandria via LeMat-Bulk
Functional: PBE-GGA
Structure: relaxed

M_tot = 0.0 μB/f.u.
DFT formation energy = -457 meV per atom
space group = No. 65
Fermi-level density of states = 0.509 states/eV per atom
total DFT energy (no corrections) = -3.93 eV per atom

a b c (Å): 4.6043 4.7316 8.1607
angles (deg): 90.00 106.39 90.00
Fractional coordinates of all 6 atoms:
Hg (0.0000, 0.0000, 0.0000)
Pb (0.6748, 0.0000, 0.3496)
Sm (0.8506, 0.5000, 0.7012)
Sm (0.1494, 0.5000, 0.2988)
Pb (0.3252, 0.0000, 0.6504)
Pb (0.5000, 0.5000, 0.0000)

# 8
Compound: SmHgPb4
Source: Alexandria via LeMat-Bulk
Functional: PBE-GGA
Structure: relaxed

M_tot = 0.0 μB/f.u.
DFT formation energy = -45 meV per atom
space group = No. 216
Fermi-level density of states = 0.445 states/eV per atom
total DFT energy (no corrections) = -3.35 eV per atom

a b c (Å): 6.4364 6.4364 6.4364
angles (deg): 60.00 60.00 60.00
Fractional coordinates of all 6 atoms:
Sm (0.0000, 0.0000, 0.0000)
Pb (0.1233, 0.6256, 0.6256)
Hg (0.2500, 0.2500, 0.2500)
Pb (0.6256, 0.6256, 0.6256)
Pb (0.6256, 0.6256, 0.1233)
Pb (0.6256, 0.1233, 0.6256)

# 9
Compound: Sm4Hg4Pb5
Source: Alexandria via LeMat-Bulk
Functional: PBE-GGA
Structure: relaxed

M_tot = 0.0 μB/f.u.
DFT formation energy = -370 meV per atom
space group = No. 87
Fermi-level density of states = 0.570 states/eV per atom
total DFT energy (no corrections) = -3.34 eV per atom

a b c (Å): 4.7757 9.0383 9.0383
angles (deg): 86.00 74.68 74.68
Fractional coordinates of all 13 atoms:
Sm (0.1254, 0.1029, 0.6463)
Pb (0.5583, 0.7400, 0.1433)
Hg (0.6020, 0.3105, 0.4855)
Hg (0.3980, 0.6895, 0.5145)
Sm (0.8746, 0.8971, 0.3537)
Hg (0.0875, 0.5145, 0.3105)
Pb (0.2984, 0.1433, 0.2600)
Sm (0.2283, 0.6463, 0.8971)
Hg (0.9125, 0.4855, 0.6895)
Pb (0.0000, 0.0000, 0.0000)
Pb (0.4417, 0.2600, 0.8567)
Pb (0.7016, 0.8567, 0.7400)
Sm (0.7717, 0.3537, 0.1029)

# 10
Compound: SmHg4Pb
Source: Alexandria via LeMat-Bulk
Functional: PBE-GGA
Structure: relaxed

M_tot = 0.0 μB/f.u.
DFT formation energy = -226 meV per atom
space group = No. 11
energy above the most stable polymorph in this dataset = 0.010 eV per atom
Fermi-level density of states = 0.400 states/eV per atom
total DFT energy (no corrections) = -1.83 eV per atom

a b c (Å): 4.9440 8.0018 10.9430
angles (deg): 90.00 133.66 90.00
Fractional coordinates of all 12 atoms:
Pb (0.5000, 0.5000, 0.0000)
Hg (0.5303, 0.0256, 0.6868)
Pb (0.5000, 0.0000, 0.0000)
Sm (0.9892, 0.7500, 0.6584)
Sm (0.0108, 0.2500, 0.3416)
Hg (0.5303, 0.4744, 0.6868)
Hg (0.9391, 0.7500, 0.9596)
Hg (0.0578, 0.7500, 0.3712)
Hg (0.9422, 0.2500, 0.6288)
Hg (0.4697, 0.5256, 0.3132)
Hg (0.4697, 0.9744, 0.3132)
Hg (0.0609, 0.2500, 0.0404)

# 11
Compound: SmHgPb
Source: Alexandria via LeMat-Bulk
Functional: PBE-GGA
Structure: relaxed

M_tot = 0.0 μB/f.u.
DFT formation energy = -285 meV per atom
space group = No. 216
Fermi-level density of states = 0.874 states/eV per atom
total DFT energy (no corrections) = -3.20 eV per atom

a b c (Å): 5.0664 5.0664 5.0664
angles (deg): 60.00 60.00 60.00
Fractional coordinates of all 3 atoms:
Hg (0.2500, 0.2500, 0.2500)
Pb (0.5000, 0.5000, 0.5000)
Sm (0.0000, 0.0000, 0.0000)

# 12
Compound: SmHg6Pb
Source: Alexandria via LeMat-Bulk
Functional: PBE-GGA
Structure: relaxed

M_tot = 0.0 μB/f.u.
DFT formation energy = -165 meV per atom
space group = No. 38
energy above the most stable polymorph in this dataset = 0.000 eV per atom
Fermi-level density of states = 0.469 states/eV per atom
total DFT energy (no corrections) = -1.44 eV per atom

a b c (Å): 5.1150 6.9088 6.9088
angles (deg): 121.99 90.00 90.00
Fractional coordinates of all 8 atoms:
Hg (0.0000, 0.5847, 0.9337)
Sm (0.0000, 0.0783, 0.9217)
Hg (0.0000, 0.0663, 0.4153)
Hg (0.5000, 0.9148, 0.0852)
Hg (0.5000, 0.9247, 0.5863)
Hg (0.5000, 0.4137, 0.0753)
Pb (0.5000, 0.4237, 0.5763)
Hg (0.0000, 0.5935, 0.4065)